#1
Below is a relaxed structure of SnB4Pt, with properties calculated at the PBE level.

abc: 2.768 5.548 8.849
angles: 90.00 90.00 90.00
Space group Immm (No. 71)
One atom of each set of equivalent atoms:
Sn 0.000 0.000 0.000 [2 per cell]
B 0.000 0.349 0.231 [8 per cell]
Pt 0.000 0.000 0.500 [2 per cell]

Computed properties:
V (A^3/atom): 11.324
Size of the total moment (μB/cell): 0.01

***

#2
Below is a relaxed structure of SnB4Pt, with properties calculated at the PBE level.

abc: 3.1613 3.1613 7.4419
angles: 90.00 90.00 120.00
Space group P6/mmm (No. 191)
One atom of each set of equivalent atoms:
Sn 0.0000 0.0000 0.0000 [1 per cell]
B 0.3333 0.6667 0.2716 [4 per cell]
Pt 0.0000 0.0000 0.5000 [1 per cell]

Computed properties:
V (A^3/atom): 10.735
Size of the total moment (μB/cell): 0.00

***

It is #2 that is the most stable of them.

***

#1
Below is a relaxed structure of SrB4Pt, with properties calculated at the PBE level.

abc: 2.881 5.621 8.553
angles: 90.00 90.00 90.00
Space group Immm (No. 71)
One atom of each set of equivalent atoms:
Sr 0.000 0.000 0.000 [2 per cell]
B 0.000 0.348 0.235 [8 per cell]
Pt 0.000 0.000 0.500 [2 per cell]

Computed properties:
V (A^3/atom): 11.541
Size of the total moment (μB/cell): 0.00

***

#2
Below is a relaxed structure of SrB4Pt, with properties calculated at the PBE level.

abc: 3.2218 3.2218 7.4852
angles: 90.00 90.00 120.00
Space group P6/mmm (No. 191)
One atom of each set of equivalent atoms:
Sr 0.0000 0.0000 0.0000 [1 per cell]
B 0.3333 0.6667 0.2901 [4 per cell]
Pt 0.0000 0.0000 0.5000 [1 per cell]

Computed properties:
V (A^3/atom): 11.215
Size of the total moment (μB/cell): 0.00

***

It is #2 that is the most stable of them.

***

#1
Below is a relaxed structure of TbBPt, with properties calculated at the PBE level.

abc: 5.920 5.920 5.920
angles: 90.00 90.00 90.00
Space group F-43m (No. 216)
One atom of each set of equivalent atoms:
Tb 0.000 0.000 0.000 [4 per cell]
B 0.250 0.250 0.750 [4 per cell]
Pt 0.000 0.000 0.500 [4 per cell]

Computed properties:
V (A^3/atom): 17.287
Size of the total moment (μB/cell): 0.06

***

#2
Below is a relaxed structure of TbBPt, with properties calculated at the PBE level.

abc: 6.182 6.182 6.182
angles: 90.00 90.00 90.00
Space group F-43m (No. 216)
One atom of each set of equivalent atoms:
Tb 0.000 0.000 0.000 [4 per cell]
B 0.000 0.000 0.500 [4 per cell]
Pt 0.250 0.250 0.750 [4 per cell]

Computed properties:
V (A^3/atom): 19.688
Size of the total moment (μB/cell): 2.02

***

It is #1 that is the most stable of them.

***

#1
Below is a relaxed structure of TlB4Pt, with properties calculated at the PBE level.

abc: 3.0792 3.0792 8.9226
angles: 90.00 90.00 120.00
Space group P6/mmm (No. 191)
One atom of each set of equivalent atoms:
Tl 0.0000 0.0000 0.0000 [1 per cell]
B 0.3333 0.6667 0.3079 [4 per cell]
Pt 0.0000 0.0000 0.5000 [1 per cell]

Computed properties:
V (A^3/atom): 12.211
Size of the total moment (μB/cell): 0.00

***

#2
Below is a relaxed structure of TlB4Pt, with properties calculated at the PBE level.

abc: 2.715 5.638 9.142
angles: 90.00 90.00 90.00
Space group Immm (No. 71)
One atom of each set of equivalent atoms:
Tl 0.000 0.000 0.000 [2 per cell]
B 0.000 0.352 0.229 [8 per cell]
Pt 0.000 0.000 0.500 [2 per cell]

Computed properties:
V (A^3/atom): 11.659
Size of the total moment (μB/cell): 0.01

***

It is #1 that is the most stable of them.

***

#1
Below is a relaxed structure of UBPt, with properties calculated at the PBE level.

abc: 5.863 5.863 5.863
angles: 90.00 90.00 90.00
Space group F-43m (No. 216)
One atom of each set of equivalent atoms:
U 0.000 0.000 0.000 [4 per cell]
B 0.250 0.250 0.750 [4 per cell]
Pt 0.000 0.000 0.500 [4 per cell]

Computed properties:
V (A^3/atom): 16.796
Size of the total moment (μB/cell): 3.83

***

#2
Below is a relaxed structure of UBPt, with properties calculated at the PBE level.

abc: 6.159 6.159 6.159
angles: 90.00 90.00 90.00
Space group F-43m (No. 216)
One atom of each set of equivalent atoms:
U 0.000 0.000 0.000 [4 per cell]
B 0.000 0.000 0.500 [4 per cell]
Pt 0.250 0.250 0.750 [4 per cell]

Computed properties:
V (A^3/atom): 19.467
Size of the total moment (μB/cell): 4.37

***

#3
Below is a relaxed structure of UBPt, with properties calculated at the PBE level.

abc: 6.214 6.214 6.214
angles: 90.00 90.00 90.00
Space group F-43m (No. 216)
One atom of each set of equivalent atoms:
U 0.000 0.000 0.000 [4 per cell]
B 0.250 0.250 0.750 [4 per cell]
Pt 0.250 0.250 0.250 [4 per cell]

Computed properties:
V (A^3/atom): 20.000
Size of the total moment (μB/cell): 3.10

***

It is #1 that is the most stable of them.

***

#1
Below is a relaxed structure of PuB, with properties calculated at the PBE level.

abc: 5.529 5.529 5.529
angles: 90.00 90.00 90.00
Space group F-43m (No. 216)
One atom of each set of equivalent atoms:
Pu 0.000 0.000 0.000 [4 per cell]
B 0.250 0.250 0.250 [4 per cell]

Computed properties:
V (A^3/atom): 21.124
Size of the total moment (μB/cell): 19.68

***

#2
Below is a relaxed structure of PuB, with properties calculated at the PBE level.

abc: 2.6100 2.6100 4.2426
angles: 90.00 90.00 120.00
Space group P-6m2 (No. 187)
One atom of each set of equivalent atoms:
Pu 0.0000 0.0000 0.0000 [1 per cell]
B 0.3333 0.6667 0.5000 [1 per cell]

Computed properties:
V (A^3/atom): 12.514
Size of the total moment (μB/cell): 0.41

***

It is #2 that is the most stable of them.